{"formula": "LiVSe2", "functional": "PBE", "state": "optimized geometry", "lattice_angstrom": [[4.109, 0.000, 0.000], [-2.055, 3.559, 0.000], [0.000, 0.000, 6.550]], "species": ["Li", "V", "Se", "Se"], "fractional_positions": [[0.000, 0.000, 0.000], [0.333, 0.667, 0.538], [0.000, 0.000, 0.412], [0.333, 0.667, 0.892]], "space_group": "P3m1", "total_energy_ev_per_atom": -5.194, "e_form_raw_ev_per_fu": -2.77, "volume_a3_per_atom": 23.94}

=====

{"formula": "LiV6Se8", "functional": "PBE", "state": "optimized geometry", "lattice_angstrom": [[4.712, 2.721, 3.753], [-4.712, 2.721, 3.753], [0.000, -5.441, 3.753]], "species": ["Li", "V", "V", "V", "V", "V", "V", "Se", "Se", "Se", "Se", "Se", "Se", "Se", "Se"], "fractional_positions": [[0.000, 0.000, 0.000], [0.218, 0.545, 0.410], [0.410, 0.218, 0.545], [0.455, 0.590, 0.782], [0.545, 0.410, 0.218], [0.590, 0.782, 0.455], [0.782, 0.455, 0.590], [0.129, 0.394, 0.738], [0.223, 0.223, 0.223], [0.262, 0.871, 0.606], [0.394, 0.738, 0.129], [0.606, 0.262, 0.871], [0.738, 0.129, 0.394], [0.777, 0.777, 0.777], [0.871, 0.606, 0.262]], "space_group": "R-3", "total_energy_ev_per_atom": -6.372, "e_form_raw_ev_per_fu": -11.08, "de_polymorph_mev_per_atom": 0, "volume_a3_per_atom": 19.25}

=====

{"formula": "LiV2Se4", "functional": "PBE", "state": "optimized geometry", "lattice_angstrom": [[14.139, 0.000, 0.000], [0.000, 3.531, 0.000], [-2.297, 0.000, 5.716]], "species": ["Li", "Li", "V", "V", "V", "V", "Se", "Se", "Se", "Se", "Se", "Se", "Se", "Se"], "fractional_positions": [[0.000, 0.000, 0.000], [0.500, 0.500, 0.000], [0.250, 0.000, 0.277], [0.250, 0.500, 0.723], [0.750, 0.000, 0.723], [0.750, 0.500, 0.277], [0.127, 0.500, 0.313], [0.146, 0.000, 0.829], [0.354, 0.500, 0.171], [0.373, 0.000, 0.687], [0.627, 0.000, 0.313], [0.646, 0.500, 0.829], [0.854, 0.000, 0.171], [0.873, 0.500, 0.687]], "space_group": "C2/m", "total_energy_ev_per_atom": -5.684, "e_form_raw_ev_per_fu": -5.70, "de_polymorph_mev_per_atom": 0, "volume_a3_per_atom": 20.38}

=====

no.,D(E_F) (states/eV per cell)
1,2.11
2,10.20
3,8.78